(1)
TlAu2Se | Alexandria | meta-GGA SCAN | PBEsol geometry; SG = No. 139
1.0
4.573 0.000 0.000
-2.286 4.464 -0.004
0.000 -2.339 3.929
Au Se Tl
2 1 1
Cartesian
0.000 0.478 2.945
2.286 1.647 0.980
2.286 -1.169 1.965
0.000 0.000 0.000

=====

(2)
TlAu2Se | Alexandria | meta-GGA SCAN | PBEsol geometry; SG = No. 44
1.0
-3.281 1.472 -1.005
-1.161 -1.296 -5.045
-3.649 -3.840 -0.649
Se Tl Au
1 1 2
Cartesian
-3.990 -1.590 -3.178
-6.079 -2.794 -5.057
-2.032 -0.955 -1.702
-3.317 1.316 -1.116

=====

(3)
Tl2AuSe | Alexandria | meta-GGA SCAN | PBEsol geometry; SG = No. 38
1.0
-3.716 0.867 -1.414
-1.472 -3.353 1.813
-0.390 4.812 3.977
Se Au Tl
1 1 2
Cartesian
-2.732 -0.861 0.795
-1.220 -0.329 3.005
-2.490 2.193 2.034
-1.790 1.257 5.477

=====

(4)
TlAu2Se | Alexandria | meta-GGA SCAN | PBEsol geometry; SG = No. 12
1.0
-2.335 -2.019 -2.768
1.013 -3.683 -1.274
-3.787 -4.183 3.141
Au Tl Se
2 1 1
Cartesian
-2.585 -6.341 0.596
-2.524 -3.544 -1.496
-1.168 -1.009 -1.384
-1.387 -3.933 0.934

=====

(5)
TlAu2Se | Alexandria | meta-GGA SCAN | PBEsol geometry; SG = No. 47
1.0
3.827 0.000 0.030
0.000 4.157 0.000
-0.049 0.000 5.799
Tl Au Se
1 2 1
Cartesian
0.000 2.079 0.000
1.902 0.000 1.354
1.875 0.000 4.475
1.889 2.079 2.914

=====

(6)
WAu3Se | Alexandria | meta-GGA SCAN | PBEsol geometry; SG = No. 221
1.0
4.802 0.000 0.000
0.000 4.802 0.000
0.000 0.000 4.802
Au W Se
3 1 1
Cartesian
0.000 2.401 0.000
2.401 0.000 0.000
0.000 0.000 2.401
2.401 2.401 2.401
0.000 0.000 0.000

=====

(7)
WAu2Se | Alexandria | meta-GGA SCAN | PBEsol geometry; SG = No. 123
1.0
2.697 0.000 0.000
0.000 5.101 0.000
0.000 0.000 5.101
Se Au W
1 2 1
Cartesian
1.349 2.551 2.551
0.000 2.551 0.000
0.000 0.000 2.551
1.349 0.000 0.000

=====

(8)
WAuSe2 | Alexandria | meta-GGA SCAN | PBEsol geometry; energy above the lowest structure with this stoichiometry = 14 meV per atom; SG = No. 123
1.0
-1.970 2.275 -0.092
-0.877 -0.646 2.807
5.726 5.078 2.956
Se Au W
2 1 1
Cartesian
1.088 0.965 0.562
4.638 4.113 2.394
1.440 3.354 2.836
-1.423 0.815 1.358

=====

no.,raw formation energy (meV per atom)
1,250
2,120
3,-138
4,57
5,54
6,1557
7,832
8,228